VASP calculation (PBE) on crystalline Pm3Pr6Y at its relaxed geometry.

**DOS(E_F)**: 13.48 states/eV/f.u.
**E above lowest polymorph**: 0.000 eV per atom
**Formation energy**: 0.133 eV per atom

Cell lengths 11.043, 19.512, 6.592 Å; angles 90.00, 90.00, 90.00 degrees
Space group Cmc2_1 (No. 36)
Inequivalent atoms, fractional coordinates:
1 Pm 0.000 0.116 0.000 (multiplicity 4)
2 Pm 0.174 0.383 0.619 (multiplicity 8)
3 Pr 0.000 0.220 0.430 (multiplicity 4)
4 Pr 0.000 0.468 0.228 (multiplicity 4)
5 Pr 0.171 0.042 0.527 (multiplicity 8)
6 Pr 0.230 0.209 0.721 (multiplicity 8)
7 Y 0.000 0.312 0.977 (multiplicity 4)

***

VASP calculation (PBE) on crystalline LaCd11Ni at its relaxed geometry.

**DOS(E_F)**: 5.06 states/eV/f.u.
**Formation energy**: -0.122 eV per atom

Cell lengths 5.613, 14.383, 7.598 Å; angles 90.00, 110.09, 90.00 degrees
Space group C2/m (No. 12)
Inequivalent atoms, fractional coordinates:
1 La 0.000 0.000 0.000 (multiplicity 2)
2 Cd 0.000 0.000 0.500 (multiplicity 2)
3 Cd 0.094 0.397 0.220 (multiplicity 8)
4 Cd 0.191 0.170 0.362 (multiplicity 8)
5 Cd 0.250 0.250 0.000 (multiplicity 4)
6 Ni 0.000 0.500 0.500 (multiplicity 2)